Entry 1:
# PmThBr2

A relaxed structure of PmThBr2 (PBE, Alexandria via LeMat-Bulk).

Output
* space-group type: R-3m
* energy relative to the elements, uncorrected: -0.933 eV per atom

a = 3.631 Å, b = 3.631 Å, c = 31.383 Å
α = 90.00°, β = 90.00°, γ = 120.00°
Sites, in units of the cell vectors:
Pm  0.000  0.000  0.000
Pm  0.333  0.667  0.667
Pm  0.667  0.333  0.333
Th  0.000  0.000  0.500
Th  0.333  0.667  0.167
Th  0.667  0.333  0.833
Br  0.000  0.000  0.403
Br  0.000  0.000  0.597
Br  0.333  0.667  0.069
Br  0.333  0.667  0.264
Br  0.667  0.333  0.736
Br  0.667  0.333  0.931

***

Entry 2:
# Ca2Pm15Pr2

A relaxed structure of Ca2Pm15Pr2 (PBE, Alexandria via LeMat-Bulk).

Output
* space-group type: R-3m
* formation energy from the elements: 0.239 eV/atom

a = 8.967 Å, b = 8.967 Å, c = 8.967 Å
α = 81.45°, β = 81.45°, γ = 81.45°
Sites, in units of the cell vectors:
Ca  0.167  0.167  0.167
Ca  0.833  0.833  0.833
Pm  0.000  0.500  0.500
Pm  0.137  0.137  0.649
Pm  0.137  0.649  0.137
Pm  0.201  0.500  0.799
Pm  0.201  0.799  0.500
Pm  0.351  0.863  0.863
Pm  0.500  0.000  0.500
Pm  0.500  0.201  0.799
Pm  0.500  0.500  0.000
Pm  0.500  0.799  0.201
Pm  0.649  0.137  0.137
Pm  0.799  0.201  0.500
Pm  0.799  0.500  0.201
Pm  0.863  0.351  0.863
Pm  0.863  0.863  0.351
Pr  0.407  0.407  0.407
Pr  0.593  0.593  0.593

***

Entry 3:
# SrTaIn2

A relaxed structure of SrTaIn2 (PBE, Alexandria via LeMat-Bulk).

Output
* space-group type: Pmm2
* formation energy from the elements: 0.400 eV/atom

a = 3.212 Å, b = 4.050 Å, c = 8.269 Å
α = 90.00°, β = 90.00°, γ = 90.00°
Sites, in units of the cell vectors:
Sr  0.000  0.000  0.000
Ta  0.500  0.500  0.296
In  0.000  0.000  0.458
In  0.500  0.500  0.689

***

Entry 4:
# PmEuHo2

A relaxed structure of PmEuHo2 (PBE, Alexandria via LeMat-Bulk).

Output
* space-group type: P4/mmm
* energy above the lowest structure with this stoichiometry: 0.000 eV/atom
* formation energy from the elements: 0.065 eV/atom

a = 3.641 Å, b = 3.641 Å, c = 10.265 Å
α = 90.00°, β = 90.00°, γ = 90.00°
Sites, in units of the cell vectors:
Pm  0.000  0.000  0.000
Eu  0.000  0.000  0.500
Ho  0.500  0.500  0.237
Ho  0.500  0.500  0.763

***

Entry 5:
# Dy3Np3TiN8

A relaxed structure of Dy3Np3TiN8 (PBE, Alexandria via LeMat-Bulk).

Output
* space-group type: R-3m
* energy relative to the elements, uncorrected: -1.310 eV per atom

a = 6.802 Å, b = 6.802 Å, c = 6.802 Å
α = 59.25°, β = 59.25°, γ = 59.25°
Sites, in units of the cell vectors:
Dy  0.000  0.500  0.500
Dy  0.500  0.000  0.500
Dy  0.500  0.500  0.000
Np  0.000  0.000  0.500
Np  0.000  0.500  0.000
Np  0.500  0.000  0.000
Ti  0.500  0.500  0.500
N  0.250  0.250  0.250
N  0.260  0.725  0.725
N  0.275  0.275  0.740
N  0.275  0.740  0.275
N  0.725  0.260  0.725
N  0.725  0.725  0.260
N  0.740  0.275  0.275
N  0.750  0.750  0.750

***

Entry 6:
# MnBeFe4

A relaxed structure of MnBeFe4 (PBE, Alexandria via LeMat-Bulk).

Output
* space-group type: F-43m
* energy above the lowest structure with this stoichiometry: 0.230 eV/atom
* formation energy from the elements: 0.246 eV/atom

a = 4.603 Å, b = 4.603 Å, c = 4.603 Å
α = 60.00°, β = 60.00°, γ = 60.00°
Sites, in units of the cell vectors:
Mn  0.000  0.000  0.000
Be  0.750  0.750  0.750
Fe  0.375  0.375  0.375
Fe  0.375  0.375  0.874
Fe  0.375  0.874  0.375
Fe  0.874  0.375  0.375

***

Entry 7:
# Ba3MgRh2O9

A relaxed structure of Ba3MgRh2O9 (PBE, Alexandria via LeMat-Bulk).

Output
* space-group type: P-3m1
* energy relative to the elements, uncorrected: -1.802 eV per atom

a = 5.769 Å, b = 5.769 Å, c = 7.080 Å
α = 90.00°, β = 90.00°, γ = 120.00°
Sites, in units of the cell vectors:
Ba  0.000  0.000  0.000
Ba  0.333  0.667  0.666
Ba  0.667  0.333  0.334
Mg  0.000  0.000  0.500
Rh  0.333  0.667  0.170
Rh  0.667  0.333  0.830
O  0.000  0.500  0.000
O  0.172  0.344  0.327
O  0.172  0.828  0.327
O  0.344  0.172  0.673
O  0.500  0.000  0.000
O  0.500  0.500  0.000
O  0.656  0.828  0.327
O  0.828  0.172  0.673
O  0.828  0.656  0.673

***

Entry 8:
# Y2AsBr

A relaxed structure of Y2AsBr (PBE, Alexandria via LeMat-Bulk).

Output
* space-group type: Amm2
* energy relative to the elements, uncorrected: -1.113 eV per atom

a = 4.173 Å, b = 3.989 Å, c = 12.006 Å
α = 90.00°, β = 90.00°, γ = 90.00°
Sites, in units of the cell vectors:
Y  0.000  0.000  0.000
Y  0.000  0.500  0.500
Y  0.500  0.000  0.281
Y  0.500  0.500  0.781
As  0.500  0.000  0.528
As  0.500  0.500  0.028
Br  0.000  0.000  0.765
Br  0.000  0.500  0.265

***

Summary of V in A^3/atom
29.86 36.80 26.89 34.01 14.58 11.49 13.61 24.98
(order as listed above)